MgPt2Se (PBE-GGA, relaxed); formation energy (no corrections) = -0.34 eV per atom; energy above the most stable polymorph in this dataset = 0.0052 eV/atom; calculated volume = 71.6 Å³ per cell; symmetry = No. 6; magnetic moment = 0.000 μB/cell
1.0
2.8796 0.0000 0.0000
0.0000 3.6929 0.0000
-1.4302 0.0000 6.7313
Mg Pt Se
1 2 1
Cartesian
0.0000 0.0000 0.0000 Mg
0.0016 0.0000 2.9432 Pt
1.4376 1.8464 1.3779 Pt
0.0011 1.8464 4.6441 Se

InSbP4 (PBE-GGA, relaxed); formation energy (no corrections) = 0.46 eV per atom; calculated volume = 137.9 Å³ per cell; symmetry = No. 216; magnetic moment = 0.000 μB/cell
1.0
0.0000 4.1008 4.1008
4.1008 0.0000 4.1008
4.1008 4.1008 0.0000
In Sb P
1 1 4
Cartesian
0.0000 0.0000 0.0000 In
2.0504 2.0504 2.0504 Sb
5.3486 2.8530 2.8530 P
2.8530 5.3486 2.8530 P
2.8530 2.8530 5.3486 P
5.3486 5.3486 5.3486 P

Ba10Sr6Mg (PBE-GGA, relaxed); calculated volume = 1028.9 Å³ per cell; energy = -1.722 eV per atom; symmetry = No. 162; magnetic moment = 2.916 μB/cell
1.0
12.1158 0.0000 0.0000
-6.0579 10.4926 0.0000
0.0000 0.0000 8.0937
Ba Sr Mg
10 6 1
Cartesian
-1.4994 2.5970 1.8891 Ba
-4.5585 7.8955 6.2045 Ba
2.9988 0.0000 1.8891 Ba
1.4994 2.5970 6.2045 Ba
0.0000 6.9950 0.0000 Ba
0.0000 6.9950 4.0468 Ba
6.0579 3.4975 0.0000 Ba
6.0579 3.4975 4.0468 Ba
9.1170 0.0000 6.2045 Ba
4.5585 7.8955 1.8891 Ba
-2.4295 4.2080 5.9203 Sr
-3.6284 6.2845 2.1734 Sr
4.8590 0.0000 5.9203 Sr
2.4295 4.2080 2.1734 Sr
7.2567 0.0000 2.1734 Sr
3.6284 6.2845 5.9203 Sr
0.0000 0.0000 4.0468 Mg

YHg3 (PBE-GGA, relaxed); calculated volume = 107.9 Å³ per cell; energy = -2.020 eV per atom; symmetry = No. 166; magnetic moment = 0.000 μB/cell
1.0
1.9086 1.1019 8.5527
-1.9086 1.1019 8.5527
0.0000 -2.2039 8.5527
Y Hg
1 3
Cartesian
0.0000 0.0000 0.0000 Y
0.0000 0.0000 6.3500 Hg
0.0000 0.0000 12.8291 Hg
0.0000 0.0000 19.3082 Hg